Record 1
Here is an optimized crystal structure of BaAl3Rh from the Alexandria database. Energies are from PBE.

Properties
Formation energy from the elements in eV/atom: 2.033
Density of states at the Fermi level in states/eV per cell: 5.86

Cell lengths 5.655, 5.655, 5.655 Å; angles 90.00, 90.00, 90.00 degrees
Space group Pm-3m (No. 221)
Unique sites:
Ba (0.000, 0.000, 0.000) (multiplicity 1)
Al (0.000, 0.000, 0.500) (multiplicity 3)
Rh (0.500, 0.500, 0.500) (multiplicity 1)

Record 2
Here is an optimized crystal structure of Ba2AlRh from the Alexandria database. Energies are from PBE.

Properties
ΔE to the lowest computed polymorph in meV per atom: 145
Formation energy from the elements in eV/atom: -0.244
Density of states at the Fermi level in states/eV per cell: 4.09

Cell lengths 4.367, 4.761, 14.355 Å; angles 90.00, 90.00, 90.00 degrees
Space group Imm2 (No. 44)
Unique sites:
Ba (0.000, 0.000, 0.000) (multiplicity 2)
Ba (0.000, 0.500, 0.246) (multiplicity 2)
Al (0.000, 0.500, 0.826) (multiplicity 2)
Rh (0.000, 0.000, 0.401) (multiplicity 2)

Record 3
Here is an optimized crystal structure of BaAlRh4 from the Alexandria database. Energies are from PBE.

Properties
Formation energy from the elements in eV/atom: 0.047
Density of states at the Fermi level in states/eV per cell: 40.35

Cell lengths 7.628, 7.628, 7.628 Å; angles 90.00, 90.00, 90.00 degrees
Space group F-43m (No. 216)
Unique sites:
Ba (0.000, 0.000, 0.000) (multiplicity 4)
Al (0.250, 0.250, 0.250) (multiplicity 4)
Rh (0.124, 0.124, 0.624) (multiplicity 16)

Repeat the first record exactly.
Here is an optimized crystal structure of BaAl3Rh from the Alexandria database. Energies are from PBE.

Properties
Formation energy from the elements in eV/atom: 2.033
Density of states at the Fermi level in states/eV per cell: 5.86

Cell lengths 5.655, 5.655, 5.655 Å; angles 90.00, 90.00, 90.00 degrees
Space group Pm-3m (No. 221)
Unique sites:
Ba (0.000, 0.000, 0.000) (multiplicity 1)
Al (0.000, 0.000, 0.500) (multiplicity 3)
Rh (0.500, 0.500, 0.500) (multiplicity 1)

Q: What is the density of states at the Fermi level in the second record?
A: 4.09 states/eV per cell